1.
First-principles (GGA-PBE) data for crystalline Ge2BPd at its relaxed geometry, as listed in Alexandria.

Lattice parameters (Å, degrees): 5.476 5.476 9.306 90.00 90.00 90.00
Space group I-42d (No. 122)
Inequivalent atoms, fractional coordinates:
Ge  0.188  0.250  0.125 (multiplicity 8)
B  0.000  0.000  0.000 (multiplicity 4)
Pd  0.000  0.000  0.500 (multiplicity 4)

Computed properties:
calculated formation energy = 0.238 eV/atom

---

2.
First-principles (GGA-PBE) data for crystalline LiReF2 at its relaxed geometry, as listed in Alexandria.

Lattice parameters (Å, degrees): 5.663 5.663 5.663 90.00 90.00 90.00
Space group Fm-3m (No. 225)
Inequivalent atoms, fractional coordinates:
Li  0.000  0.000  0.000 (multiplicity 4)
Re  0.000  0.000  0.500 (multiplicity 4)
F  0.250  0.250  0.250 (multiplicity 8)

Computed properties:
raw formation energy = -0.074 eV per atom
ΔE to the lowest computed polymorph = 1759 meV per atom

---

3.
First-principles (GGA-PBE) data for crystalline Sc2SbPd2 at its relaxed geometry, as listed in Alexandria.

Lattice parameters (Å, degrees): 4.513 4.513 10.683 90.00 90.00 90.00
Space group I4/mmm (No. 139)
Inequivalent atoms, fractional coordinates:
Sc  0.000  0.500  0.250 (multiplicity 4)
Sb  0.000  0.000  0.000 (multiplicity 2)
Pd  0.000  0.000  0.381 (multiplicity 4)

Computed properties:
raw formation energy = -0.549 eV per atom
ΔE to the lowest computed polymorph = 328 meV per atom

---

4.
First-principles (GGA-PBE) data for crystalline La2PrTe at its relaxed geometry, as listed in Alexandria.

Lattice parameters (Å, degrees): 4.952 4.952 5.018 90.00 90.00 90.00
Space group P4/mmm (No. 123)
Inequivalent atoms, fractional coordinates:
La  0.000  0.500  0.000 (multiplicity 2)
Pr  0.000  0.000  0.500 (multiplicity 1)
Te  0.500  0.500  0.500 (multiplicity 1)

Computed properties:
raw formation energy = -0.621 eV per atom
ΔE to the lowest computed polymorph = 14 meV per atom

---

5.
First-principles (GGA-PBE) data for crystalline CoSi2Sb at its relaxed geometry, as listed in Alexandria.

Lattice parameters (Å, degrees): 4.227 4.227 7.166 90.00 90.00 90.00
Space group I-4m2 (No. 119)
Inequivalent atoms, fractional coordinates:
Co  0.000  0.000  0.000 (multiplicity 2)
Si  0.000  0.000  0.500 (multiplicity 2)
Si  0.000  0.500  0.250 (multiplicity 2)
Sb  0.000  0.500  0.750 (multiplicity 2)

Computed properties:
raw formation energy = 0.511 eV per atom

---

6.
First-principles (GGA-PBE) data for crystalline LiHfIr3 at its relaxed geometry, as listed in Alexandria.

Lattice parameters (Å, degrees): 4.179 4.179 4.179 90.00 90.00 90.00
Space group Pm-3m (No. 221)
Inequivalent atoms, fractional coordinates:
Li  0.000  0.000  0.000 (multiplicity 1)
Hf  0.500  0.500  0.500 (multiplicity 1)
Ir  0.000  0.000  0.500 (multiplicity 3)

Computed properties:
calculated formation energy = -0.025 eV/atom
ΔE to the lowest computed polymorph = 0 meV per atom

---

7.
First-principles (GGA-PBE) data for crystalline TlIn3SnPb at its relaxed geometry, as listed in Alexandria.

Lattice parameters (Å, degrees): 10.043 3.380 10.744 90.00 109.15 90.00
Space group P2_1/m (No. 11)
Inequivalent atoms, fractional coordinates:
Tl  0.127  0.250  0.132 (multiplicity 2)
In  0.045  0.750  0.380 (multiplicity 2)
In  0.286  0.250  0.618 (multiplicity 2)
In  0.460  0.250  0.135 (multiplicity 2)
Sn  0.389  0.750  0.380 (multiplicity 2)
Pb  0.220  0.750  0.877 (multiplicity 2)

Computed properties:
calculated formation energy = 0.017 eV/atom

---

8.
First-principles (GGA-PBE) data for crystalline Ac5Tb2Pr4 at its relaxed geometry, as listed in Alexandria.

Lattice parameters (Å, degrees): 9.429 3.709 12.608 90.00 91.94 90.00
Space group P2/m (No. 10)
Inequivalent atoms, fractional coordinates:
Ac  0.000  0.000  0.000 (multiplicity 1)
Ac  0.197  0.000  0.527 (multiplicity 2)
Ac  0.286  0.000  0.820 (multiplicity 2)
Tb  0.348  0.000  0.118 (multiplicity 2)
Pr  0.077  0.500  0.267 (multiplicity 2)
Pr  0.461  0.500  0.354 (multiplicity 2)

Computed properties:
calculated formation energy = 0.153 eV/atom

---

9.
First-principles (GGA-PBE) data for crystalline NdClO at its relaxed geometry, as listed in Alexandria.

Lattice parameters (Å, degrees): 3.8730 3.8730 5.0663 90.00 90.00 120.00
Space group P3m1 (No. 156)
Inequivalent atoms, fractional coordinates:
Nd  0.0000  0.0000  0.0000 (multiplicity 1)
Cl  0.6667  0.3333  0.3901 (multiplicity 1)
O  0.3333  0.6667  0.9140 (multiplicity 1)

Computed properties:
raw formation energy = -2.829 eV per atom

---

10.
First-principles (GGA-PBE) data for crystalline TbCdHg at its relaxed geometry, as listed in Alexandria.

Lattice parameters (Å, degrees): 3.644 3.644 11.577 90.00 90.00 90.00
Space group P4/nmm (No. 129, origin choice 2)
Inequivalent atoms, fractional coordinates:
Tb  0.250  0.250  0.108 (multiplicity 2)
Cd  0.250  0.250  0.424 (multiplicity 2)
Hg  0.250  0.250  0.729 (multiplicity 2)

Computed properties:
calculated formation energy = -0.190 eV/atom

---

11.
First-principles (GGA-PBE) data for crystalline LaSc2Te at its relaxed geometry, as listed in Alexandria.

Lattice parameters (Å, degrees): 3.814 3.814 7.592 90.00 90.00 90.00
Space group P4mm (No. 99)
Inequivalent atoms, fractional coordinates:
La  0.000  0.000  0.000 (multiplicity 1)
Sc  0.000  0.000  0.527 (multiplicity 1)
Sc  0.500  0.500  0.302 (multiplicity 1)
Te  0.500  0.500  0.707 (multiplicity 1)

Computed properties:
raw formation energy = -0.560 eV per atom

---

12.
First-principles (GGA-PBE) data for crystalline YGe at its relaxed geometry, as listed in Alexandria.

Lattice parameters (Å, degrees): 7.7574 7.7574 5.9574 90.00 90.00 120.00
Space group P6_3/m (No. 176)
Inequivalent atoms, fractional coordinates:
Y  0.1057  0.3451  0.2500 (multiplicity 6)
Ge  0.1419  0.4658  0.7500 (multiplicity 6)

Computed properties:
calculated formation energy = -0.480 eV/atom

---

13.
First-principles (GGA-PBE) data for crystalline Ni2OsPb at its relaxed geometry, as listed in Alexandria.

Lattice parameters (Å, degrees): 6.229 6.229 6.229 90.00 90.00 90.00
Space group F-43m (No. 216)
Inequivalent atoms, fractional coordinates:
Ni  0.000  0.000  0.000 (multiplicity 4)
Ni  0.250  0.250  0.250 (multiplicity 4)
Os  0.000  0.000  0.500 (multiplicity 4)
Pb  0.250  0.250  0.750 (multiplicity 4)

Computed properties:
calculated formation energy = 0.621 eV/atom

---

14.
First-principles (GGA-PBE) data for crystalline LaNdIn2 at its relaxed geometry, as listed in Alexandria.

Lattice parameters (Å, degrees): 3.8886 3.8886 29.8228 90.00 90.00 120.00
Space group R-3m (No. 166, hexagonal axes)
Inequivalent atoms, fractional coordinates:
La  0.0000  0.0000  0.0000 (multiplicity 3)
Nd  0.0000  0.0000  0.5000 (multiplicity 3)
In  0.0000  0.0000  0.2485 (multiplicity 6)

Computed properties:
calculated formation energy = -0.307 eV/atom

---

15.
First-principles (GGA-PBE) data for crystalline CeVGa at its relaxed geometry, as listed in Alexandria.

Lattice parameters (Å, degrees): 4.6459 4.6459 3.4370 90.00 90.00 120.00
Space group P-6m2 (No. 187)
Inequivalent atoms, fractional coordinates:
Ce  0.0000  0.0000  0.0000 (multiplicity 1)
V  0.6667  0.3333  0.5000 (multiplicity 1)
Ga  0.3333  0.6667  0.5000 (multiplicity 1)

Computed properties:
calculated formation energy = -0.039 eV/atom
ΔE to the lowest computed polymorph = 24 meV per atom

---

16.
First-principles (GGA-PBE) data for crystalline MgCrPd2 at its relaxed geometry, as listed in Alexandria.

Lattice parameters (Å, degrees): 4.544 4.544 3.030 90.00 90.00 90.00
Space group P4/mmm (No. 123)
Inequivalent atoms, fractional coordinates:
Mg  0.000  0.000  0.000 (multiplicity 1)
Cr  0.500  0.500  0.000 (multiplicity 1)
Pd  0.000  0.500  0.500 (multiplicity 2)

Computed properties:
calculated formation energy = -0.316 eV/atom

---

17.
First-principles (GGA-PBE) data for crystalline CeDyIn at its relaxed geometry, as listed in Alexandria.

Lattice parameters (Å, degrees): 3.526 5.297 8.885 88.13 79.50 89.98
Space group P-1 (No. 2)
Inequivalent atoms, fractional coordinates:
Ce  0.230  0.217  0.472 (multiplicity 2)
Dy  0.079  0.755  0.869 (multiplicity 2)
In  0.400  0.739  0.206 (multiplicity 2)

Computed properties:
calculated formation energy = -0.286 eV/atom
ΔE to the lowest computed polymorph = 0 meV per atom

---

| no. | size of the total moment (μB/f.u.) |
| --- | --- |
| 1 | 0.0 |
| 2 | 0.0 |
| 3 | 0.0 |
| 4 | 0.0 |
| 5 | 0.0 |
| 6 | 0.0 |
| 7 | 0.0 |
| 8 | 0.0 |
| 9 | 0.0 |
| 10 | 0.0 |
| 11 | 0.0 |
| 12 | 0.3 |
| 13 | 1.2 |
| 14 | 0.0 |
| 15 | 3.9 |
| 16 | 3.9 |
| 17 | 0.3 |